GdSbN2O: optimized geometry, PBE-GGA.

Lattice parameters (Å, degrees): 7.920 8.046 8.052 89.86 89.99 88.37
Element x y z (fractional)
Gd 0.018 0.047 0.253
Gd 0.040 0.517 0.247
Gd 0.469 0.979 0.747
Gd 0.479 0.468 0.755
Gd 0.521 0.532 0.245
Gd 0.531 0.021 0.253
Gd 0.960 0.483 0.753
Gd 0.982 0.953 0.747
Sb 0.243 0.244 0.986
Sb 0.247 0.763 0.010
Sb 0.249 0.262 0.508
Sb 0.251 0.744 0.491
Sb 0.749 0.256 0.509
Sb 0.751 0.738 0.492
Sb 0.753 0.237 0.990
Sb 0.757 0.756 0.014
N 0.002 0.707 0.564
N 0.003 0.697 0.941
N 0.174 0.796 0.252
N 0.203 0.002 0.930
N 0.215 0.335 0.749
N 0.303 0.499 0.436
N 0.500 0.190 0.546
N 0.500 0.209 0.943
N 0.500 0.791 0.057
N 0.500 0.810 0.454
N 0.697 0.501 0.564
N 0.785 0.665 0.251
N 0.797 0.998 0.070
N 0.826 0.204 0.748
N 0.997 0.303 0.059
N 0.998 0.293 0.436
O 0.202 0.002 0.556
O 0.285 0.184 0.247
O 0.299 0.499 0.053
O 0.322 0.718 0.751
O 0.678 0.282 0.249
O 0.701 0.501 0.947
O 0.715 0.816 0.753
O 0.798 0.998 0.444

- VASP energy: -35.23 eV per formula unit
- V: 12.82 Å³ per atom
- SG: P-1 (2)